Material: TmUSe3
Method: DFT, GGA-PBE
State: relaxed

Computed properties:
formation energy (no corrections): -6.86 eV/f.u.
total DFT energy (no corrections): -132.3 eV/cell
mass density: 7.04 Mg/m³
relative energy among the computed polymorphs: 103 meV per atom

```
data_TmUSe3
_cell_length_a 4.089
_cell_length_b 20.779
_cell_length_c 7.145
_cell_angle_alpha 90.00
_cell_angle_beta 90.00
_cell_angle_gamma 90.00
_symmetry_space_group_name_H-M 'C m c 21'
_symmetry_Int_Tables_number 36
loop_
_symmetry_equiv_pos_as_xyz
'x,y,z'
'-x,-y,z+1/2'
'-x,y,z'
'x,-y,z+1/2'
'x+1/2,y+1/2,z'
'-x+1/2,-y+1/2,z+1/2'
'-x+1/2,y+1/2,z'
'x+1/2,-y+1/2,z+1/2'
loop_
_atom_site_label
_atom_site_type_symbol
_atom_site_fract_x
_atom_site_fract_y
_atom_site_fract_z
Tm1 Tm 0.000 0.160 0.000
U1 U 0.000 0.338 0.000
Se1 Se 0.000 0.091 0.673
Se2 Se 0.000 0.250 0.332
Se3 Se 0.000 0.407 0.663
```